# 1
# La2Tb3Nd9, optimized geometry, DFT PBE
# **Energy of formation**: 0.24 eV/atom
data_La2Tb3Nd9
_chemical_formula_sum 'La4 Tb6 Nd18'
_cell_length_a 9.2473
_cell_length_b 9.2473
_cell_length_c 13.7258
_cell_angle_alpha 90.00
_cell_angle_beta 90.00
_cell_angle_gamma 120.00
_space_group_name_H-M_alt 'P 63/m'
_space_group_IT_number 176
_space_group_name_Hall '-P 6c'
loop_
_atom_site_label
_atom_site_type_symbol
_atom_site_fract_x
_atom_site_fract_y
_atom_site_fract_z
_atom_site_occupancy
La1 La 0.3333 0.6667 0.1364 1
Tb1 Tb 0.0797 0.2480 0.2500 1
Nd1 Nd 0.0823 0.4833 0.7500 1
Nd2 Nd 0.1265 0.7253 0.5389 1

# 2
# Ce2Pr2Si4Rh, optimized geometry, DFT PBE
# **Uncorrected formation energy**: -0.4565 eV/atom
data_Ce2Pr2Si4Rh
_chemical_formula_sum 'Ce4 Pr4 Si8 Rh2'
_cell_length_a 7.1419
_cell_length_b 7.1419
_cell_length_c 8.1509
_cell_angle_alpha 90.00
_cell_angle_beta 90.00
_cell_angle_gamma 90.00
_space_group_name_H-M_alt 'I 4/m m m'
_space_group_IT_number 139
_space_group_name_Hall '-I 4 2'
loop_
_atom_site_label
_atom_site_type_symbol
_atom_site_fract_x
_atom_site_fract_y
_atom_site_fract_z
_atom_site_occupancy
Ce1 Ce 0.0000 0.0000 0.1689 1
Pr1 Pr 0.0000 0.5000 0.2500 1
Si1 Si 0.2392 0.2392 0.5000 1
Rh1 Rh 0.0000 0.0000 0.5000 1

# 3
# Ac2Tb5Ho12, optimized geometry, DFT PBE
# **Energy of formation**: 0.12 eV/atom
# **Distance to the lowest polymorph of the same formula**: 0.000 eV/atom
data_Ac2Tb5Ho12
_chemical_formula_sum 'Ac2 Tb5 Ho12'
_cell_length_a 6.7844
_cell_length_b 7.1285
_cell_length_c 13.9655
_cell_angle_alpha 103.14
_cell_angle_beta 95.63
_cell_angle_gamma 104.17
_space_group_name_H-M_alt 'P -1'
_space_group_IT_number 2
loop_
_space_group_symop_operation_xyz
'x,y,z'
'-x,-y,-z'
loop_
_atom_site_label
_atom_site_type_symbol
_atom_site_fract_x
_atom_site_fract_y
_atom_site_fract_z
_atom_site_occupancy
Ac1 Ac 0.2258 0.4108 0.4797 1
Tb1 Tb 0.1150 0.7202 0.0930 1
Tb2 Tb 0.2378 0.9184 0.4794 1
Tb3 Tb 0.5000 0.5000 0.0000 1
Ho1 Ho 0.0734 0.0032 0.7128 1
Ho2 Ho 0.0919 0.5160 0.7330 1
Ho3 Ho 0.1661 0.2097 0.1104 1
Ho4 Ho 0.3493 0.9463 0.9062 1
Ho5 Ho 0.4573 0.6453 0.2845 1
Ho6 Ho 0.4697 0.1417 0.3060 1

# 4
# TaBeAl, optimized geometry, DFT PBE
# **Energy of formation**: 0.19 eV/atom
# **Distance to the lowest polymorph of the same formula**: 0.499 eV/atom
data_TaBeAl
_chemical_formula_sum 'Ta4 Be4 Al4'
_cell_length_a 5.6269
_cell_length_b 5.6269
_cell_length_c 5.6269
_cell_angle_alpha 90.00
_cell_angle_beta 90.00
_cell_angle_gamma 90.00
_space_group_name_H-M_alt 'F -4 3 m'
_space_group_IT_number 216
_space_group_name_Hall 'F -4 2 3'
loop_
_atom_site_label
_atom_site_type_symbol
_atom_site_fract_x
_atom_site_fract_y
_atom_site_fract_z
_atom_site_occupancy
Ta1 Ta 0.0000 0.0000 0.0000 1
Be1 Be 0.2500 0.2500 0.7500 1
Al1 Al 0.0000 0.0000 0.5000 1

# 5
# SrZn3Sn, optimized geometry, DFT PBE
# **Energy of formation**: 0.88 eV/atom
# **Distance to the lowest polymorph of the same formula**: 0.712 eV/atom
data_SrZn3Sn
_chemical_formula_sum 'Sr1 Zn3 Sn1'
_cell_length_a 5.6854
_cell_length_b 5.6854
_cell_length_c 5.6854
_cell_angle_alpha 90.00
_cell_angle_beta 90.00
_cell_angle_gamma 90.00
_space_group_name_H-M_alt 'P m -3 m'
_space_group_IT_number 221
_space_group_name_Hall '-P 4 2 3'
loop_
_atom_site_label
_atom_site_type_symbol
_atom_site_fract_x
_atom_site_fract_y
_atom_site_fract_z
_atom_site_occupancy
Sr1 Sr 0.0000 0.0000 0.0000 1
Zn1 Zn 0.0000 0.0000 0.5000 1
Sn1 Sn 0.5000 0.5000 0.5000 1

# 6
# HfZnRh, optimized geometry, DFT PBE
# **Energy of formation**: -0.52 eV/atom
data_HfZnRh
_chemical_formula_sum 'Hf1 Zn1 Rh1'
_cell_length_a 4.3892
_cell_length_b 4.3892
_cell_length_c 2.9870
_cell_angle_alpha 90.00
_cell_angle_beta 90.00
_cell_angle_gamma 120.00
_space_group_name_H-M_alt 'P 3 m 1'
_space_group_IT_number 156
loop_
_space_group_symop_operation_xyz
'x,y,z'
'-y,x-y,z'
'-x+y,-x,z'
'-y,-x,z'
'-x+y,y,z'
'x,x-y,z'
loop_
_atom_site_label
_atom_site_type_symbol
_atom_site_fract_x
_atom_site_fract_y
_atom_site_fract_z
_atom_site_occupancy
Hf1 Hf 0.0000 0.0000 0.0000 1
Zn1 Zn 0.3333 0.6667 0.5005 1
Rh1 Rh 0.6667 0.3333 0.4362 1

# 7
# Re2SbPb, optimized geometry, DFT PBE
# **Uncorrected formation energy**: 0.9415 eV/atom
# **Distance to the lowest polymorph of the same formula**: 0.614 eV/atom
data_Re2SbPb
_chemical_formula_sum 'Re8 Sb4 Pb4'
_cell_length_a 6.6397
_cell_length_b 6.6397
_cell_length_c 6.6397
_cell_angle_alpha 90.00
_cell_angle_beta 90.00
_cell_angle_gamma 90.00
_space_group_name_H-M_alt 'F m -3 m'
_space_group_IT_number 225
_space_group_name_Hall '-F 4 2 3'
loop_
_atom_site_label
_atom_site_type_symbol
_atom_site_fract_x
_atom_site_fract_y
_atom_site_fract_z
_atom_site_occupancy
Re1 Re 0.2500 0.2500 0.2500 1
Sb1 Sb 0.0000 0.0000 0.0000 1
Pb1 Pb 0.0000 0.0000 0.5000 1

# 8
# Ca2FeGe4Pt3, optimized geometry, DFT PBE
# **Energy of formation**: -0.67 eV/atom
data_Ca2FeGe4Pt3
_chemical_formula_sum 'Ca2 Fe1 Ge4 Pt3'
_cell_length_a 4.1761
_cell_length_b 4.1761
_cell_length_c 10.6266
_cell_angle_alpha 90.00
_cell_angle_beta 90.00
_cell_angle_gamma 90.00
_space_group_name_H-M_alt 'P -4 m 2'
_space_group_IT_number 115
loop_
_space_group_symop_operation_xyz
'x,y,z'
'y,-x,-z'
'-x,-y,z'
'-y,x,-z'
'-x,y,z'
'-y,-x,-z'
'x,-y,z'
'y,x,-z'
loop_
_atom_site_label
_atom_site_type_symbol
_atom_site_fract_x
_atom_site_fract_y
_atom_site_fract_z
_atom_site_occupancy
Ca1 Ca 0.0000 0.5000 0.2455 1
Fe1 Fe 0.5000 0.5000 0.0000 1
Ge1 Ge 0.0000 0.0000 0.5000 1
Ge2 Ge 0.0000 0.5000 0.8742 1
Ge3 Ge 0.5000 0.5000 0.5000 1
Pt1 Pt 0.0000 0.0000 0.0000 1
Pt2 Pt 0.0000 0.5000 0.6374 1

# 9
# AcPrThIn, optimized geometry, DFT PBE
# **Energy of formation**: 0.00 eV/atom
data_AcPrThIn
_chemical_formula_sum 'Ac4 Pr4 Th4 In4'
_cell_length_a 8.0837
_cell_length_b 8.0837
_cell_length_c 8.0837
_cell_angle_alpha 90.00
_cell_angle_beta 90.00
_cell_angle_gamma 90.00
_space_group_name_H-M_alt 'F -4 3 m'
_space_group_IT_number 216
_space_group_name_Hall 'F -4 2 3'
loop_
_atom_site_label
_atom_site_type_symbol
_atom_site_fract_x
_atom_site_fract_y
_atom_site_fract_z
_atom_site_occupancy
Ac1 Ac 0.0000 0.0000 0.0000 1
Pr1 Pr 0.2500 0.2500 0.7500 1
Th1 Th 0.2500 0.2500 0.2500 1
In1 In 0.0000 0.0000 0.5000 1

# 10
# LiAsPd, optimized geometry, DFT PBE
# **Energy of formation**: -0.52 eV/atom
data_LiAsPd
_chemical_formula_sum 'Li4 As4 Pd4'
_cell_length_a 9.1909
_cell_length_b 4.4303
_cell_length_c 5.9625
_cell_angle_alpha 90.00
_cell_angle_beta 127.44
_cell_angle_gamma 90.00
_space_group_name_H-M_alt 'C 1 2/m 1'
_space_group_IT_number 12
loop_
_space_group_symop_operation_xyz
'x,y,z'
'-x,-y,-z'
'-x,y,-z'
'x,-y,z'
'x+1/2,y+1/2,z'
'-x+1/2,-y+1/2,-z'
'-x+1/2,y+1/2,-z'
'x+1/2,-y+1/2,z'
loop_
_atom_site_label
_atom_site_type_symbol
_atom_site_fract_x
_atom_site_fract_y
_atom_site_fract_z
_atom_site_occupancy
Li1 Li 0.1908 0.0000 0.2853 1
As1 As 0.0129 0.5000 0.7969 1
Pd1 Pd 0.1440 0.0000 0.7972 1

# 11
# K2CoB, optimized geometry, DFT PBE
# **Energy of formation**: 0.70 eV/atom
data_K2CoB
_chemical_formula_sum 'K8 Co4 B4'
_cell_length_a 11.9735
_cell_length_b 11.9735
_cell_length_c 3.8003
_cell_angle_alpha 90.00
_cell_angle_beta 90.00
_cell_angle_gamma 90.00
_space_group_name_H-M_alt 'I -4 2 d'
_space_group_IT_number 122
_space_group_name_Hall 'I -4 2bw'
loop_
_atom_site_label
_atom_site_type_symbol
_atom_site_fract_x
_atom_site_fract_y
_atom_site_fract_z
_atom_site_occupancy
K1 K 0.0393 0.2500 0.1250 1
Co1 Co 0.0000 0.0000 0.5000 1
B1 B 0.0000 0.0000 0.0000 1

# 12
# Sm3YAl8, optimized geometry, DFT PBE
# **Energy of formation**: -0.52 eV/atom
# **Distance to the lowest polymorph of the same formula**: 0.000 eV/atom
data_Sm3YAl8
_chemical_formula_sum 'Sm9 Y3 Al24'
_cell_length_a 5.6149
_cell_length_b 5.6149
_cell_length_c 27.6282
_cell_angle_alpha 90.00
_cell_angle_beta 90.00
_cell_angle_gamma 120.00
_space_group_name_H-M_alt 'R 3 m'
_space_group_IT_number 160
_space_group_name_Hall 'R 3 -2"'
loop_
_atom_site_label
_atom_site_type_symbol
_atom_site_fract_x
_atom_site_fract_y
_atom_site_fract_z
_atom_site_occupancy
Sm1 Sm 0.0000 0.0000 0.0000 1
Sm2 Sm 0.0000 0.0000 0.1247 1
Sm3 Sm 0.0000 0.0000 0.6248 1
Y1 Y 0.0000 0.0000 0.5002 1
Al1 Al 0.0000 0.0000 0.3122 1
Al2 Al 0.0000 0.0000 0.8126 1
Al3 Al 0.0003 0.5001 0.0628 1
Al4 Al 0.9997 0.4999 0.5620 1

# 13
# Rb2NbOsF6, optimized geometry, DFT PBE
# **Uncorrected formation energy**: -1.8787 eV/atom
data_Rb2NbOsF6
_chemical_formula_sum 'Rb4 Nb2 Os2 F12'
_cell_length_a 5.8506
_cell_length_b 5.8506
_cell_length_c 11.6269
_cell_angle_alpha 90.00
_cell_angle_beta 90.00
_cell_angle_gamma 90.00
_space_group_name_H-M_alt 'I 4/m m m'
_space_group_IT_number 139
_space_group_name_Hall '-I 4 2'
loop_
_atom_site_label
_atom_site_type_symbol
_atom_site_fract_x
_atom_site_fract_y
_atom_site_fract_z
_atom_site_occupancy
Rb1 Rb 0.0000 0.5000 0.2500 1
Nb1 Nb 0.0000 0.0000 0.0000 1
Os1 Os 0.0000 0.0000 0.5000 1
F1 F 0.0000 0.0000 0.1797 1
F2 F 0.2477 0.2477 0.5000 1

# 14
# Ta3Pt2, optimized geometry, DFT PBE
# **Energy of formation**: -0.42 eV/atom
# **Distance to the lowest polymorph of the same formula**: 0.052 eV/atom
data_Ta3Pt2
_chemical_formula_sum 'Ta24 Pt16'
_cell_length_a 9.9593
_cell_length_b 13.8430
_cell_length_c 5.0095
_cell_angle_alpha 90.00
_cell_angle_beta 90.00
_cell_angle_gamma 90.00
_space_group_name_H-M_alt 'F d d 2'
_space_group_IT_number 43
_space_group_name_Hall 'F 2 -2d'
loop_
_atom_site_label
_atom_site_type_symbol
_atom_site_fract_x
_atom_site_fract_y
_atom_site_fract_z
_atom_site_occupancy
Ta1 Ta 0.0000 0.0000 0.0000 1
Ta2 Ta 0.0566 0.1068 0.4939 1
Pt1 Pt 0.0319 0.2015 0.9644 1

# 15
# Tm3Cd2Pd3, optimized geometry, DFT PBE
# **Energy of formation**: -0.71 eV/atom
data_Tm3Cd2Pd3
_chemical_formula_sum 'Tm6 Cd4 Pd6'
_cell_length_a 8.3796
_cell_length_b 8.3796
_cell_length_c 5.7104
_cell_angle_alpha 90.00
_cell_angle_beta 90.00
_cell_angle_gamma 120.00
_space_group_name_H-M_alt 'P 63/m c m'
_space_group_IT_number 193
_space_group_name_Hall '-P 6c 2'
loop_
_atom_site_label
_atom_site_type_symbol
_atom_site_fract_x
_atom_site_fract_y
_atom_site_fract_z
_atom_site_occupancy
Tm1 Tm 0.0000 0.2710 0.2500 1
Cd1 Cd 0.3333 0.6667 0.0000 1
Pd1 Pd 0.0000 0.3835 0.7500 1

# 16
# La2Pd2Se, optimized geometry, DFT PBE
# **Uncorrected formation energy**: -1.0222 eV/atom
# **Distance to the lowest polymorph of the same formula**: 0.203 eV/atom
data_La2Pd2Se
_chemical_formula_sum 'La4 Pd4 Se2'
_cell_length_a 8.1458
_cell_length_b 8.1458
_cell_length_c 3.9514
_cell_angle_alpha 90.00
_cell_angle_beta 90.00
_cell_angle_gamma 90.00
_space_group_name_H-M_alt 'P 4/m b m'
_space_group_IT_number 127
_space_group_name_Hall '-P 4 2ab'
loop_
_atom_site_label
_atom_site_type_symbol
_atom_site_fract_x
_atom_site_fract_y
_atom_site_fract_z
_atom_site_occupancy
La1 La 0.1798 0.3202 0.0000 1
Pd1 Pd 0.1185 0.6185 0.5000 1
Se1 Se 0.0000 0.0000 0.0000 1

# 17
# Tm2Sc2Pb, optimized geometry, DFT PBE
# **Energy of formation**: -0.05 eV/atom
data_Tm2Sc2Pb
_chemical_formula_sum 'Tm4 Sc4 Pb2'
_cell_length_a 3.5371
_cell_length_b 7.6400
_cell_length_c 10.5225
_cell_angle_alpha 90.00
_cell_angle_beta 90.00
_cell_angle_gamma 90.00
_space_group_name_H-M_alt 'I m m m'
_space_group_IT_number 71
_space_group_name_Hall '-I 2 2'
loop_
_atom_site_label
_atom_site_type_symbol
_atom_site_fract_x
_atom_site_fract_y
_atom_site_fract_z
_atom_site_occupancy
Tm1 Tm 0.0000 0.0000 0.2354 1
Sc1 Sc 0.0000 0.3138 0.5000 1
Pb1 Pb 0.0000 0.5000 0.0000 1

# 18
# AcNdTm, optimized geometry, DFT PBE
# **Energy of formation**: 0.06 eV/atom
# **Distance to the lowest polymorph of the same formula**: 0.005 eV/atom
data_AcNdTm
_chemical_formula_sum 'Ac4 Nd4 Tm4'
_cell_length_a 6.5426
_cell_length_b 12.1032
_cell_length_c 6.2773
_cell_angle_alpha 90.00
_cell_angle_beta 118.45
_cell_angle_gamma 90.00
_space_group_name_H-M_alt 'P 1 21/c 1'
_space_group_IT_number 14
loop_
_space_group_symop_operation_xyz
'x,y,z'
'-x,-y,-z'
'-x,y+1/2,-z+1/2'
'x,-y+1/2,z+1/2'
loop_
_atom_site_label
_atom_site_type_symbol
_atom_site_fract_x
_atom_site_fract_y
_atom_site_fract_z
_atom_site_occupancy
Ac1 Ac 0.1715 0.1323 0.1571 1
Nd1 Nd 0.1887 0.6162 0.0117 1
Tm1 Tm 0.4844 0.6156 0.6586 1

# 19
# TbGd2Rh, optimized geometry, DFT PBE
# **Energy of formation**: -0.14 eV/atom
# **Distance to the lowest polymorph of the same formula**: 0.227 eV/atom
data_TbGd2Rh
_chemical_formula_sum 'Tb3 Gd6 Rh3'
_cell_length_a 3.6673
_cell_length_b 3.6673
_cell_length_c 31.4678
_cell_angle_alpha 90.00
_cell_angle_beta 90.00
_cell_angle_gamma 120.00
_space_group_name_H-M_alt 'R -3 m'
_space_group_IT_number 166
_space_group_name_Hall '-R 3 2"'
loop_
_atom_site_label
_atom_site_type_symbol
_atom_site_fract_x
_atom_site_fract_y
_atom_site_fract_z
_atom_site_occupancy
Tb1 Tb 0.0000 0.0000 0.0000 1
Gd1 Gd 0.0000 0.0000 0.1100 1
Rh1 Rh 0.0000 0.0000 0.5000 1

# 20
# NaAcNbO4, optimized geometry, DFT PBE
# **Uncorrected formation energy**: -2.5150 eV/atom
data_NaAcNbO4
_chemical_formula_sum 'Na4 Ac4 Nb4 O16'
_cell_length_a 6.1713
_cell_length_b 7.7960
_cell_length_c 9.9602
_cell_angle_alpha 90.00
_cell_angle_beta 90.00
_cell_angle_gamma 90.00
_space_group_name_H-M_alt 'I m m a'
_space_group_IT_number 74
_space_group_name_Hall '-I 2b 2'
loop_
_atom_site_label
_atom_site_type_symbol
_atom_site_fract_x
_atom_site_fract_y
_atom_site_fract_z
_atom_site_occupancy
Na1 Na 0.0000 0.2500 0.1190 1
Ac1 Ac 0.0000 0.0000 0.5000 1
Nb1 Nb 0.2500 0.2500 0.7500 1
O1 O 0.0000 0.0579 0.7444 1
O2 O 0.2411 0.2500 0.5460 1

# 21
# CaPr7Pb4, optimized geometry, DFT PBE
# **Energy of formation**: -0.19 eV/atom
data_CaPr7Pb4
_chemical_formula_sum 'Ca2 Pr14 Pb8'
_cell_length_a 14.2355
_cell_length_b 6.0470
_cell_length_c 11.5671
_cell_angle_alpha 90.00
_cell_angle_beta 124.42
_cell_angle_gamma 90.00
_space_group_name_H-M_alt 'C 1 2/m 1'
_space_group_IT_number 12
loop_
_space_group_symop_operation_xyz
'x,y,z'
'-x,-y,-z'
'-x,y,-z'
'x,-y,z'
'x+1/2,y+1/2,z'
'-x+1/2,-y+1/2,-z'
'-x+1/2,y+1/2,-z'
'x+1/2,-y+1/2,z'
loop_
_atom_site_label
_atom_site_type_symbol
_atom_site_fract_x
_atom_site_fract_y
_atom_site_fract_z
_atom_site_occupancy
Ca1 Ca 0.0000 0.0000 0.0000 1
Pr1 Pr 0.0000 0.5000 0.0000 1
Pr2 Pr 0.0495 0.0000 0.3702 1
Pr3 Pr 0.1761 0.5000 0.5922 1
Pr4 Pr 0.2103 0.0000 0.8894 1
Pb1 Pb 0.0727 0.5000 0.7713 1
Pb2 Pb 0.2039 0.5000 0.3255 1

# 22
# CaV2Sn, optimized geometry, DFT PBE
# **Energy of formation**: 0.79 eV/atom
# **Distance to the lowest polymorph of the same formula**: 0.410 eV/atom
data_CaV2Sn
_chemical_formula_sum 'Ca4 V8 Sn4'
_cell_length_a 8.1117
_cell_length_b 8.1117
_cell_length_c 6.0876
_cell_angle_alpha 90.00
_cell_angle_beta 90.00
_cell_angle_gamma 90.00
_space_group_name_H-M_alt 'I -4 2 d'
_space_group_IT_number 122
_space_group_name_Hall 'I -4 2bw'
loop_
_atom_site_label
_atom_site_type_symbol
_atom_site_fract_x
_atom_site_fract_y
_atom_site_fract_z
_atom_site_occupancy
Ca1 Ca 0.0000 0.0000 0.0000 1
V1 V 0.2029 0.2500 0.6250 1
Sn1 Sn 0.0000 0.0000 0.5000 1

# 23
# Er2Ga3Ru, optimized geometry, DFT PBE
# **Energy of formation**: -0.59 eV/atom
data_Er2Ga3Ru
_chemical_formula_sum 'Er6 Ga9 Ru3'
_cell_length_a 5.4269
_cell_length_b 5.4269
_cell_length_c 13.0714
_cell_angle_alpha 90.00
_cell_angle_beta 90.00
_cell_angle_gamma 120.00
_space_group_name_H-M_alt 'R -3 m'
_space_group_IT_number 166
_space_group_name_Hall '-R 3 2"'
loop_
_atom_site_label
_atom_site_type_symbol
_atom_site_fract_x
_atom_site_fract_y
_atom_site_fract_z
_atom_site_occupancy
Er1 Er 0.0000 0.0000 0.1271 1
Ga1 Ga 0.0000 0.5000 0.0000 1
Ru1 Ru 0.0000 0.0000 0.5000 1